# 1
Here is Ba2HPt after structural relaxation from Alexandria. Energies are from PBE-GGA.

Geometry as extended XYZ:
```
4
Lattice="3.9048 -2.2574 0.0000 3.9048 2.2574 0.0000 -0.0311 0.0000 7.5397" Properties=species:S:1:pos:R:3 pbc="T T T"
Ba 0.0000 0.0000 0.0000
Ba 5.1788 0.0000 3.9356
H 7.7797 0.0000 2.6974
Pt 2.5744 0.0000 5.8359
```

Values from the calculation:
ΔE to the lowest computed polymorph   0.532 kcal/mol of atoms
M_tot   0.2 μB/f.u.

=====

# 2
Here is Sc8Ge3SbTe4 after structural relaxation from Alexandria. Energies are from PBE-GGA.

Geometry as extended XYZ:
```
16
Lattice="4.0594 2.3437 6.7270 -4.0594 2.3437 6.7270 0.0000 -4.6874 6.7270" Properties=species:S:1:pos:R:3 pbc="T T T"
Sc -2.1096 -1.2180 11.5894
Sc 0.0000 0.0000 4.8318
Sc 0.0000 -2.4360 8.5917
Sc -2.1096 1.2180 8.5917
Sc 2.1096 -1.2180 11.5894
Sc 0.0000 2.4360 11.5894
Sc 0.0000 0.0000 15.3493
Sc 2.1096 1.2180 8.5917
Ge -4.0594 0.0000 10.0905
Ge -2.0297 1.1719 3.3635
Ge 2.0297 1.1719 3.3635
Sb 0.0000 0.0000 10.0905
Te 0.0000 0.0000 0.0000
Te -2.0297 -1.1719 6.7270
Te -2.0297 1.1719 13.4540
Te 0.0000 2.3437 6.7270
```

Values from the calculation:
Energy relative to the elements, uncorrected   -1.043 eV/atom
M_tot   0.0 μB/f.u.

=====

# 3
Here is LaFe2H8 after structural relaxation from Alexandria. Energies are from PBE-GGA.

Geometry as extended XYZ:
```
11
Lattice="2.4918 -4.0993 0.0000 2.4918 4.0993 0.0000 -0.0035 0.0000 3.7036" Properties=species:S:1:pos:R:3 pbc="T T T"
La 0.0000 0.0000 0.0000
Fe 2.4900 1.4223 1.8518
Fe 2.4900 -1.4223 1.8518
H 0.8817 1.2444 1.8534
H 2.4918 1.5441 0.0000
H 0.8817 -1.2444 1.8534
H 2.4815 0.0000 1.0084
H 2.4986 0.0000 2.6952
H 4.0984 1.2444 1.8502
H 2.4918 -1.5441 0.0000
H 4.0984 -1.2444 1.8502
```

Values from the calculation:
ΔE to the lowest computed polymorph   0.563 kcal/mol of atoms
M_tot   0.6 μB/f.u.

=====

The highest M_tot belongs to which entry?
LaFe2H8

=====

M_tot of number 3 (LaFe2H8)?
0.6 μB/f.u.